No. 1
The following is a PBE-GGA calculation of an optimized crystal structure of Pr4Ho4In, from Alexandria via LeMat-Bulk.

Cell and atoms, written as extended XYZ:
```
9
Lattice="-5.4057 5.4057 2.4782 5.4057 -5.4057 2.4782 5.4057 5.4057 -2.4782" Properties=species:S:1:pos:R:3 pbc="T T T"
Pr 1.7490 1.7490 0.0000
Pr 3.6568 -3.6568 2.4782
Pr -3.6568 3.6568 2.4782
Pr 3.6568 3.6568 2.4782
Ho 5.4057 1.7666 0.0000
Ho 1.7666 5.4057 0.0000
Ho 3.6392 0.0000 2.4782
Ho 0.0000 3.6392 2.4782
In 0.0000 0.0000 2.4782
```

* space-group type: I4/mmm, No. 139
* energy: -4.532 eV per atom
* DFT formation energy: -0.0692 eV per atom
* D(E_F): 1.35 states/eV per atom

=====

No. 2
The following is a PBE-GGA calculation of an optimized crystal structure of PrHoIn2, from Alexandria via LeMat-Bulk.

Cell and atoms, written as extended XYZ:
```
4
Lattice="1.8794 1.0851 9.8439 -1.8794 1.0851 9.8439 0.0000 -2.1701 9.8439" Properties=species:S:1:pos:R:3 pbc="T T T"
Pr 0.0000 0.0000 0.0000
Ho 0.0000 0.0000 14.7658
In 0.0000 0.0000 7.2937
In 0.0000 0.0000 22.2380
```

* space-group type: R-3m, No. 166
* energy: -4.014 eV per atom
* DFT formation energy: -0.3059 eV per atom
* D(E_F): 0.58 states/eV per atom

=====

No. 3
The following is a PBE-GGA calculation of an optimized crystal structure of Pr3HoIn4, from Alexandria via LeMat-Bulk.

Cell and atoms, written as extended XYZ:
```
8
Lattice="-1.9147 3.7059 8.9971 1.9147 -3.7059 8.9971 1.9147 3.7059 -8.9971" Properties=species:S:1:pos:R:3 pbc="T T T"
Pr 0.0000 0.0000 0.0000
Pr 1.9147 0.0000 5.2794
Pr 0.0000 3.7059 3.7177
Ho 0.0000 0.0000 8.9971
In 1.9147 1.5105 -2.2782
In 1.9147 1.5105 2.2782
In 0.0000 2.1955 6.7189
In 0.0000 2.1955 11.2752
```

* space-group type: Immm, No. 71
* energy: -4.039 eV per atom
* DFT formation energy: -0.3054 eV per atom
* D(E_F): 0.86 states/eV per atom
* polymorph energy (0 for the lowest one): 182 meV per atom

=====

No. 4
The following is a PBE-GGA calculation of an optimized crystal structure of Pr5Ho4In, from Alexandria via LeMat-Bulk.

Cell and atoms, written as extended XYZ:
```
10
Lattice="4.2107 0.0000 0.0000 0.0000 4.2107 0.0000 0.0000 0.0000 18.4525" Properties=species:S:1:pos:R:3 pbc="T T T"
Pr 0.0000 0.0000 0.0000
Pr 0.0000 0.0000 3.7835
Pr 0.0000 0.0000 7.5531
Pr 0.0000 0.0000 10.8994
Pr 0.0000 0.0000 14.6690
Ho 2.1054 2.1054 1.8904
Ho 2.1054 2.1054 5.6573
Ho 2.1054 2.1054 12.7952
Ho 2.1054 2.1054 16.5622
In 2.1054 2.1054 9.2263
```

* space-group type: P4/mmm, No. 123
* energy: -4.509 eV per atom
* DFT formation energy: -0.0143 eV per atom
* D(E_F): 1.63 states/eV per atom
* polymorph energy (0 for the lowest one): 0 meV per atom

=====

No. 5
The following is a PBE-GGA calculation of an optimized crystal structure of Pr5HoIn2, from Alexandria via LeMat-Bulk.

Cell and atoms, written as extended XYZ:
```
16
Lattice="7.0713 0.0000 0.0000 0.0000 14.1504 0.0000 0.0000 0.0000 4.9809" Properties=species:S:1:pos:R:3 pbc="T T T"
Pr 0.0000 0.0000 0.0000
Pr 0.0314 3.5790 0.0000
Pr 1.7553 12.3975 2.4905
Pr 1.7804 5.3223 2.4905
Pr 3.5043 10.6542 0.0000
Pr 3.5357 7.0752 0.0000
Pr 3.5670 3.4962 0.0000
Pr 5.2909 8.8281 2.4905
Pr 5.3161 1.7529 2.4905
Pr 7.0400 10.5714 0.0000
Ho 0.0000 7.0752 0.0000
Ho 3.5357 0.0000 0.0000
In 1.7211 8.8064 2.4905
In 1.8146 1.7312 2.4905
In 5.2568 12.4192 2.4905
In 5.3502 5.3440 2.4905
```

* space-group type: Pbam, No. 55
* energy: -4.515 eV per atom
* DFT formation energy: -0.2714 eV per atom
* D(E_F): 1.47 states/eV per atom

=====

No. 6
The following is a PBE-GGA calculation of an optimized crystal structure of PrHoIn, from Alexandria via LeMat-Bulk.

Cell and atoms, written as extended XYZ:
```
3
Lattice="5.2991 0.0000 0.0000 -2.6495 4.5891 0.0000 0.0000 0.0000 3.7498" Properties=species:S:1:pos:R:3 pbc="T T T"
Pr 0.0000 0.0000 0.0000
Ho 2.6495 1.5297 1.6941
In 0.0000 3.0594 2.3027
```

* space-group type: P3m1, No. 156
* energy: -4.270 eV per atom
* DFT formation energy: -0.2384 eV per atom
* D(E_F): 0.66 states/eV per atom
* polymorph energy (0 for the lowest one): 99 meV per atom

=====

No. 7
The following is a PBE-GGA calculation of an optimized crystal structure of Pr7Ho2In2, from Alexandria via LeMat-Bulk.

Cell and atoms, written as extended XYZ:
```
11
Lattice="-1.8580 8.9437 5.6923 1.8580 -8.9437 5.6923 1.8580 8.9437 -5.6923" Properties=species:S:1:pos:R:3 pbc="T T T"
Pr 0.0000 0.0000 0.0000
Pr 1.8580 -3.1925 2.1518
Pr 1.8580 7.0769 -0.7141
Pr 1.8580 3.1925 2.1518
Pr 0.0000 1.8668 4.9781
Pr 0.0000 6.2729 2.5033
Pr 0.0000 11.6145 2.5033
Ho 1.8580 -4.9020 5.1473
Ho 1.8580 4.9020 5.1473
In 1.8580 0.0000 2.7703
In 0.0000 0.0000 7.8974
```

* space-group type: Imm2, No. 44
* energy: -4.413 eV per atom
* DFT formation energy: -0.0411 eV per atom
* D(E_F): 1.19 states/eV per atom

=====

No. 8
The following is a PBE-GGA calculation of an optimized crystal structure of Pr2Ho4In, from Alexandria via LeMat-Bulk.

Cell and atoms, written as extended XYZ:
```
14
Lattice="6.5382 0.0000 0.0000 0.0000 11.8935 0.0000 -2.8852 0.0000 5.7495" Properties=species:S:1:pos:R:3 pbc="T T T"
Pr 0.2518 0.2276 1.8928
Pr -1.1908 5.7191 4.7675
Pr 4.8438 6.1744 0.9820
Pr 3.4012 11.6659 3.8568
Ho -1.3424 2.3653 4.7671
Ho 0.1002 3.5814 1.8924
Ho 1.7452 8.6380 1.0613
Ho 0.3026 9.2023 3.9361
Ho 3.3504 2.6913 1.8134
Ho 1.9078 3.2555 4.6882
Ho 3.5528 8.3121 3.8572
Ho 4.9954 9.5282 0.9824
In 3.2691 0.0000 0.0000
In 1.8265 5.9468 2.8748
```

* space-group type: P2_1/c, No. 14
* energy: -4.374 eV per atom
* DFT formation energy: -0.0010 eV per atom
* D(E_F): 1.12 states/eV per atom
* polymorph energy (0 for the lowest one): 33 meV per atom